(1)
The following is a DFT calculation (PBE) of a relaxed structure of ErNiC.

Results
- Mass density: 8.93 Mg/m³
- Uncorrected energy: -6.72 eV per atom
- Crystal system: orthorhombic
- Formation energy from the elements: -0.199 eV per atom

```
ErNiC
1.0
3.3763 0.0000 0.0000
0.0000 4.5102 -0.0011
0.0000 -2.2532 5.8142
C Er Ni
2 2 2
Direct
0.8613 0.3529 0.2473
0.8613 0.6597 0.2472
0.3613 0.3551 0.9445
0.3613 0.6575 0.5500
0.8613 0.9028 0.0398
0.8613 0.1098 0.4546
```


(2)
The following is a DFT calculation (PBE) of a relaxed structure of Tb8Ga3Se3S.

Results
- E_form (uncorrected): -1.178 eV per atom
- Mass density: 7.46 Mg/m³
- Uncorrected energy: -5.22 eV per atom
- Crystal system: monoclinic

```
Tb8Ga3Se3S
1.0
7.9840 0.0016 0.0020
-3.9906 6.9017 -0.0239
0.0009 -4.5733 7.0790
Tb S Se Ga
8 1 3 3
Direct
0.2467 0.9996 0.7461
0.7533 0.0004 0.2539
0.2469 0.4937 0.7464
0.2472 0.0004 0.2537
0.7531 0.5063 0.2536
0.7483 0.4965 0.7449
0.7528 0.9996 0.7463
0.2517 0.5035 0.2551
0.0000 0.0000 0.5000
0.5000 0.0000 0.5000
0.0000 0.5000 0.5000
0.5000 0.5000 0.5000
0.5000 0.5000 0.0000
0.0000 0.0000 0.0000
0.0000 0.5000 0.0000
```


(3)
The following is a DFT calculation (PBE) of a relaxed structure of Pr12Mg3In.

Results
- Mass density: 6.01 Mg/m³
- Uncorrected energy: -4.13 eV per atom
- Crystal system: tetragonal
- Formation energy from the elements: -0.079 eV per atom

```
Pr12Mg3In
1.0
5.0647 0.0000 0.0000
0.0000 5.0647 0.0000
0.0000 0.0000 20.2327
Pr Mg In
12 3 1
Direct
0.5000 0.0000 0.8772
0.5000 0.5000 0.7503
0.0000 0.5000 0.1228
0.5000 0.0000 0.1228
0.0000 0.5000 0.6256
0.5000 0.0000 0.3744
0.0000 0.5000 0.8772
0.0000 0.5000 0.3744
0.5000 0.5000 0.0000
0.5000 0.0000 0.6256
0.5000 0.5000 0.2497
0.5000 0.5000 0.5000
0.0000 0.0000 0.2493
0.0000 0.0000 0.5000
0.0000 0.0000 0.7507
0.0000 0.0000 0.0000
```


(4)
The following is a DFT calculation (PBE) of a relaxed structure of Na2CuIr.

Results
- Mass density: 6.51 Mg/m³
- Uncorrected energy: -3.13 eV per atom
- Crystal system: tetragonal
- Formation energy from the elements: 0.773 eV per atom

```
Na2CuIr
1.0
-0.2005 -5.2300 5.8110
7.8074 -0.4365 -0.1235
3.9345 -0.9659 4.5290
Na Cu Ir
4 2 2
Direct
0.1432 0.6250 0.2500
0.8750 0.8568 0.7500
0.6068 0.1250 0.2500
0.3750 0.3932 0.7500
0.2500 0.7500 0.5000
0.5000 0.5000 0.0000
0.7500 0.2500 0.5000
0.0000 0.0000 0.0000
```